1.
BaYEr: relaxed, PBE.

Summary:
The value obtained for the formation energy is 0.20 eV per atom.

Lattice parameters (Å, degrees): 3.777 3.777 8.580 102.72 102.72 90.00
Fractional coordinates of all 3 atoms:
Ba 0.999 0.999 0.998
Y 0.682 0.682 0.365
Er 0.318 0.318 0.637

---

2.
SrZrCl2: relaxed, PBE.

Summary:
The offset from the most stable computed form is 0.146 eV/atom. The uncorrected formation energy is -0.980 eV/atom.

Lattice parameters (Å, degrees): 9.575 9.575 9.575 21.85 21.85 21.85
Fractional coordinates of all 4 atoms:
Cl 0.093 0.093 0.093
Sr 0.500 0.500 0.500
Zr 0.000 0.000 0.000
Cl 0.907 0.907 0.907

---

3.
Tl2InRu: relaxed, PBE.

Summary:
The offset from the most stable computed form is 0.442 eV/atom. The value obtained for the formation energy is 0.63 eV per atom.

Lattice parameters (Å, degrees): 5.025 5.025 5.025 60.00 60.00 60.00
Fractional coordinates of all 4 atoms:
Tl 0.250 0.250 0.250
In 0.500 0.500 0.500
Tl 0.750 0.750 0.750
Ru 0.000 0.000 0.000

---

4.
Tm2AsH: relaxed, PBE.

Summary:
The offset from the most stable computed form is 0.000 eV/atom.

Lattice parameters (Å, degrees): 3.877 3.877 6.261 90.00 90.00 60.00
Fractional coordinates of all 4 atoms:
As 0.843 0.288 0.773
Tm 0.176 0.621 0.506
H 0.176 0.621 0.153
Tm 0.509 0.954 0.047

---

5.
BaSrMg2Rh: relaxed, PBE.

Summary:
The offset from the most stable computed form is 0.000 eV/atom. The value obtained for the formation energy is -0.17 eV per atom.

Lattice parameters (Å, degrees): 5.323 5.323 5.593 90.00 90.00 90.00
Fractional coordinates of all 5 atoms:
Mg 0.000 0.500 0.000
Rh 0.000 0.000 0.000
Mg 0.500 0.000 0.000
Ba 0.500 0.500 0.500
Sr 0.000 0.000 0.500

---

6.
Ce5NpBi6: relaxed, PBE.

Summary:
The value obtained for the formation energy is -0.64 eV per atom.

Lattice parameters (Å, degrees): 7.940 7.940 7.958 99.59 99.59 119.98
Fractional coordinates of all 12 atoms:
Ce 0.666 0.334 0.000
Ce 0.334 0.666 0.000
Bi 0.248 0.248 0.751
Bi 0.917 0.586 0.751
Bi 0.083 0.414 0.249
Np 0.000 0.000 0.000
Bi 0.586 0.917 0.751
Bi 0.414 0.083 0.249
Ce 0.833 0.167 0.500
Ce 0.167 0.833 0.500
Ce 0.500 0.500 0.500
Bi 0.752 0.752 0.249

---

7.
Na2Zn3CuAu12: relaxed, PBE.

Summary:
The value obtained for the formation energy is 0.05 eV per atom.

Lattice parameters (Å, degrees): 8.252 8.252 8.252 59.79 59.79 59.79
Fractional coordinates of all 18 atoms:
Na 0.628 0.628 0.628
Au 0.868 0.382 0.382
Au 0.382 0.382 0.868
Au 0.872 0.872 0.377
Au 0.128 0.623 0.128
Au 0.618 0.618 0.132
Au 0.377 0.872 0.872
Au 0.623 0.128 0.128
Zn 0.500 0.000 0.000
Au 0.382 0.868 0.382
Au 0.618 0.132 0.618
Zn 0.000 0.000 0.500
Na 0.372 0.372 0.372
Au 0.128 0.128 0.623
Cu 0.000 0.000 0.000
Zn 0.000 0.500 0.000
Au 0.872 0.377 0.872
Au 0.132 0.618 0.618

---

8.
ScUSe3: relaxed, PBE.

Summary:
The offset from the most stable computed form is 0.000 eV/atom. The uncorrected formation energy is -1.377 eV/atom.

Lattice parameters (Å, degrees): 3.990 7.528 15.284 90.00 90.00 90.00
Fractional coordinates of all 20 atoms:
Se 0.250 0.512 0.105
Sc 0.250 0.266 0.956
Se 0.250 0.374 0.560
Se 0.750 0.988 0.605
Se 0.250 0.874 0.940
U 0.250 0.641 0.298
Se 0.750 0.854 0.216
U 0.750 0.359 0.702
Se 0.250 0.012 0.395
Sc 0.750 0.734 0.044
Sc 0.750 0.234 0.456
U 0.750 0.859 0.798
Sc 0.250 0.766 0.544
Se 0.250 0.146 0.784
Se 0.750 0.126 0.060
U 0.250 0.141 0.202
Se 0.750 0.488 0.895
Se 0.250 0.646 0.716
Se 0.750 0.626 0.440
Se 0.750 0.354 0.284

---

9.
Hg3WN: relaxed, PBE.

Summary:
The offset from the most stable computed form is 0.000 eV/atom. The uncorrected formation energy is 1.786 eV/atom.

Lattice parameters (Å, degrees): 4.572 4.572 4.572 90.00 90.00 90.00
Fractional coordinates of all 5 atoms:
Hg 0.000 0.000 0.500
N 0.000 0.000 0.000
Hg 0.500 0.000 0.000
Hg 0.000 0.500 0.000
W 0.500 0.500 0.500

---

10.
Cr2ReC2: relaxed, PBE.

Summary:
The offset from the most stable computed form is 0.000 eV/atom. The value obtained for the formation energy is 0.86 eV per atom.

Lattice parameters (Å, degrees): 3.639 3.639 4.579 66.58 66.58 90.00
Fractional coordinates of all 5 atoms:
C 0.250 0.750 0.500
C 0.750 0.250 0.500
Cr 0.649 0.649 0.702
Cr 0.351 0.351 0.298
Re 0.000 0.000 0.000

---

11.
K3GeBi: relaxed, PBE.

Summary:
The offset from the most stable computed form is 0.526 eV/atom. The value obtained for the formation energy is 0.32 eV per atom.

Lattice parameters (Å, degrees): 6.408 6.408 6.408 90.00 90.00 90.00
Fractional coordinates of all 5 atoms:
K 0.000 0.000 0.500
Ge 0.000 0.000 0.000
K 0.500 0.000 0.000
K 0.000 0.500 0.000
Bi 0.500 0.500 0.500

---

12.
BaNaSi2Ge: relaxed, PBE.

Summary:
The uncorrected formation energy is -0.127 eV/atom.

Lattice parameters (Å, degrees): 3.894 5.338 7.074 112.17 105.97 90.00
Fractional coordinates of all 5 atoms:
Ba 0.420 0.420 0.840
Si 0.062 0.062 0.124
Si 0.672 0.172 0.343
Ge 0.869 0.869 0.738
Na 0.190 0.690 0.379

---

13.
Rb2Zn2Ir: relaxed, PBE.

Summary:
The value obtained for the formation energy is 0.26 eV per atom.

Lattice parameters (Å, degrees): 7.005 7.005 5.902 90.00 90.00 90.00
Fractional coordinates of all 10 atoms:
Zn 0.202 0.298 0.000
Rb 0.172 0.672 0.500
Ir 0.000 0.000 0.000
Rb 0.328 0.172 0.500
Rb 0.828 0.328 0.500
Zn 0.298 0.798 0.000
Zn 0.798 0.702 0.000
Ir 0.500 0.500 0.000
Zn 0.702 0.202 0.000
Rb 0.672 0.828 0.500

---

14.
LaZr4N6: relaxed, PBE.

Summary:
The uncorrected formation energy is -1.589 eV/atom.

Lattice parameters (Å, degrees): 3.273 5.673 16.685 90.00 90.00 106.76
Fractional coordinates of all 22 atoms:
La 0.652 0.304 0.250
N 0.321 0.641 0.250
Zr 0.131 0.262 0.453
N 0.034 0.067 0.155
N 0.500 0.000 0.000
N 0.679 0.359 0.750
N 0.230 0.460 0.918
Zr 0.131 0.262 0.047
Zr 0.869 0.738 0.953
Zr 0.395 0.791 0.365
N 0.500 0.000 0.500
Zr 0.869 0.738 0.547
Zr 0.605 0.209 0.635
N 0.966 0.933 0.845
N 0.034 0.067 0.345
N 0.966 0.933 0.655
N 0.770 0.540 0.418
Zr 0.605 0.209 0.865
La 0.348 0.696 0.750
N 0.770 0.540 0.082
Zr 0.395 0.791 0.135
N 0.230 0.460 0.582

---

15.
Li2TcOs: relaxed, PBE.

Summary:
The offset from the most stable computed form is 0.139 eV/atom. The value obtained for the formation energy is 0.25 eV per atom.

Lattice parameters (Å, degrees): 4.633 2.548 4.807 83.20 90.00 90.00
Fractional coordinates of all 4 atoms:
Li 0.000 0.483 0.497
Os 0.500 0.250 0.250
Li 0.000 0.017 0.003
Tc 0.500 0.750 0.750

---

16.
YNiPt2: relaxed, PBE.

Summary:
The value obtained for the formation energy is -0.67 eV per atom.

Lattice parameters (Å, degrees): 4.991 4.991 4.087 65.82 65.82 48.41
Fractional coordinates of all 4 atoms:
Pt 0.500 0.500 0.500
Y 0.750 0.750 0.750
Pt 0.000 0.000 0.000
Ni 0.250 0.250 0.250

---

17.
Dy2UPaN4: relaxed, PBE.

Summary:
The uncorrected formation energy is -1.577 eV/atom.

Lattice parameters (Å, degrees): 3.459 6.001 6.029 109.31 90.00 90.00
Fractional coordinates of all 8 atoms:
N 0.000 0.250 0.761
N 0.000 0.750 0.239
Dy 0.500 0.000 0.500
U 0.000 0.000 0.000
Pa 0.500 0.500 0.000
N 0.500 0.758 0.763
Dy 0.000 0.500 0.500
N 0.500 0.242 0.237

---

18.
Y3AlZn2: relaxed, PBE.

Summary:
The offset from the most stable computed form is 0.000 eV/atom. The value obtained for the formation energy is -0.39 eV per atom.

Lattice parameters (Å, degrees): 5.082 5.082 12.471 90.00 90.00 120.00
Fractional coordinates of all 12 atoms:
Al 0.667 0.333 0.333
Zn 0.667 0.333 0.833
Y 0.000 0.000 0.752
Zn 0.333 0.667 0.167
Y 0.667 0.333 0.081
Y 0.000 0.000 0.248
Zn 0.000 0.000 0.000
Al 0.333 0.667 0.667
Y 0.333 0.667 0.417
Zn 0.000 0.000 0.500
Y 0.667 0.333 0.583
Y 0.333 0.667 0.919

---

19.
AlCo2B: relaxed, PBE.

Summary:
The offset from the most stable computed form is 0.179 eV/atom. The value obtained for the formation energy is -0.16 eV per atom.

Lattice parameters (Å, degrees): 2.836 3.681 3.681 90.00 90.00 90.00
Fractional coordinates of all 4 atoms:
Co 0.000 0.000 0.500
B 0.500 0.500 0.500
Co 0.000 0.500 0.000
Al 0.500 0.000 0.000

---

20.
La4Pr5Er: relaxed, PBE.

Summary:
The offset from the most stable computed form is 0.130 eV/atom. The value obtained for the formation energy is 0.15 eV per atom.

Lattice parameters (Å, degrees): 5.697 10.771 6.643 90.25 115.39 90.00
Fractional coordinates of all 10 atoms:
Pr 0.805 0.563 0.611
Pr 0.500 0.500 0.000
Er 0.500 0.000 0.000
Pr 0.196 0.065 0.392
La 0.321 0.751 0.642
La 0.953 0.246 0.906
La 0.679 0.249 0.358
La 0.047 0.754 0.094
Pr 0.804 0.935 0.608
Pr 0.195 0.437 0.389